*w*
Computed, not measured: crystalline PmZnCu at its relaxed geometry at the PBE level of DFT.

```
3
Lattice="-1.7352 1.7352 4.9863 1.7352 -1.7352 4.9863 1.7352 1.7352 -4.9863" Properties=species:S:1:pos:R:3 pbc="T T T"
Pm 0.0000 0.0000 0.0000
Zn 0.0000 0.0000 6.9411
Cu 0.0000 0.0000 3.0411
```

Calculated values
Density of states at the Fermi level = 1.52 states/eV/cell
Space-group type = No. 107
Spin magnetization = 0.00 μB/cell
Crystal system = tetragonal

*x*
Computed, not measured: crystalline PmZnCu at its relaxed geometry at the PBE level of DFT.

```
6
Lattice="4.9782 -2.2218 0.0000 4.9782 2.2218 0.0000 -4.5602 0.0000 5.4326" Properties=species:S:1:pos:R:3 pbc="T T T"
Pm -0.8919 0.0000 1.6057
Pm 6.2881 0.0000 3.8269
Zn -0.7900 0.0000 4.8357
Zn 6.1862 0.0000 0.5969
Cu 2.0606 0.0000 1.5947
Cu 3.3356 0.0000 3.8380
```

Calculated values
Density of states at the Fermi level = 4.57 states/eV/cell
Space-group type = No. 12
Spin magnetization = 0.00 μB/cell
Crystal system = monoclinic

Top of the stability list: *x*, leading by 151 meV per atom.

*w*
Computed, not measured: crystalline Pm2ZnCu2 at its relaxed geometry at the PBE level of DFT.

```
20
Lattice="7.4591 0.0000 0.0000 0.0000 7.4591 0.0000 0.0000 0.0000 7.7914" Properties=species:S:1:pos:R:3 pbc="T T T"
Pm 1.3331 2.3974 0.0000
Pm 1.3321 2.3965 3.8957
Pm 2.3974 6.1260 0.0000
Pm 2.3965 6.1270 3.8957
Pm 5.0617 1.3331 0.0000
Pm 5.0626 1.3321 3.8957
Pm 6.1260 5.0617 0.0000
Pm 6.1270 5.0626 3.8957
Zn 0.0000 0.0000 1.9440
Zn 0.0000 0.0000 5.8474
Zn 3.7295 3.7295 1.9517
Zn 3.7295 3.7295 5.8397
Cu 0.8924 4.6219 1.9478
Cu 0.8924 4.6219 5.8435
Cu 2.8372 0.8924 1.9478
Cu 2.8372 0.8924 5.8435
Cu 4.6219 6.5667 1.9478
Cu 4.6219 6.5667 5.8435
Cu 6.5667 2.8372 1.9478
Cu 6.5667 2.8372 5.8435
```

Calculated values
Density of states at the Fermi level = 16.07 states/eV/cell
Space-group type = No. 128
Spin magnetization = 0.00 μB/cell
Crystal system = tetragonal

*x*
Computed, not measured: crystalline Pm2ZnCu2 at its relaxed geometry at the PBE level of DFT.

```
10
Lattice="5.1802 -2.1933 0.0000 5.1802 2.1933 0.0000 -4.8987 0.0000 9.4341" Properties=species:S:1:pos:R:3 pbc="T T T"
Pm -1.4595 0.0000 3.2149
Pm 1.4991 0.0000 1.0517
Pm 3.9625 0.0000 8.3824
Pm 6.9212 0.0000 6.2192
Zn -0.3547 0.0000 6.1335
Zn 5.8164 0.0000 3.3006
Cu 1.5937 0.0000 4.1218
Cu 4.5231 0.0000 1.0622
Cu 0.9385 0.0000 8.3719
Cu 3.8679 0.0000 5.3123
```

Calculated values
Density of states at the Fermi level = 9.06 states/eV/cell
Space-group type = No. 12
Spin magnetization = 0.00 μB/cell
Crystal system = monoclinic

Top of the stability list: *x*, leading by 15 meV per atom.

*w*
Computed, not measured: crystalline Pm3ZnCu2 at its relaxed geometry at the PBE level of DFT.

```
6
Lattice="3.6032 0.0000 0.0000 0.0000 3.6032 0.0000 0.0000 0.0000 10.7572" Properties=species:S:1:pos:R:3 pbc="T T T"
Pm 0.0000 0.0000 0.0000
Pm 0.0000 0.0000 3.5401
Pm 0.0000 0.0000 7.2171
Zn 1.8016 1.8016 5.3786
Cu 1.8016 1.8016 1.7812
Cu 1.8016 1.8016 8.9760
```

Calculated values
Density of states at the Fermi level = 4.41 states/eV/cell
Space-group type = No. 123
Spin magnetization = 0.00 μB/cell
Crystal system = tetragonal

*x*
Computed, not measured: crystalline Pm3ZnCu2 at its relaxed geometry at the PBE level of DFT.

```
12
Lattice="5.0892 0.0000 0.0000 -2.5446 4.4074 0.0000 0.0000 0.0000 12.4881" Properties=species:S:1:pos:R:3 pbc="T T T"
Pm 0.0000 0.0000 3.0648
Pm 0.0000 0.0000 9.4233
Pm 0.0000 2.9383 5.2124
Pm 0.0000 2.9383 11.5046
Pm 2.5446 1.4691 0.9835
Pm 2.5446 1.4691 7.2757
Zn 0.0000 2.9383 8.3635
Zn 2.5446 1.4691 4.1247
Cu 0.0000 0.0000 0.0000
Cu 0.0000 0.0000 6.2441
Cu 0.0000 2.9383 2.1523
Cu 2.5446 1.4691 10.3359
```

Calculated values
Density of states at the Fermi level = 10.25 states/eV/cell
Space-group type = No. 164
Spin magnetization = 0.00 μB/cell
Crystal system = trigonal

Top of the stability list: *w*, leading by 9 meV per atom.

*w*
Computed, not measured: crystalline Pm8Zn2Cu at its relaxed geometry at the PBE level of DFT.

```
11
Lattice="9.0698 -2.5961 0.0000 9.0698 2.5961 0.0000 -1.5670 0.0000 6.6818" Properties=species:S:1:pos:R:3 pbc="T T T"
Pm 0.0526 0.0000 1.8340
Pm 2.3645 0.0000 5.4347
Pm 5.3320 0.0000 3.5805
Pm 7.3512 0.0000 0.3305
Pm 9.2213 0.0000 6.3513
Pm 11.2405 0.0000 3.1013
Pm 14.2081 0.0000 1.2471
Pm 16.5199 0.0000 4.8478
Zn 3.0849 0.0000 1.5876
Zn 13.4876 0.0000 5.0942
Cu 8.2863 0.0000 3.3409
```

Calculated values
Density of states at the Fermi level = 10.83 states/eV/cell
Space-group type = No. 12
Spin magnetization = 0.00 μB/cell
Crystal system = monoclinic

*x*
Computed, not measured: crystalline Pm8Zn2Cu at its relaxed geometry at the PBE level of DFT.

```
11
Lattice="-2.5463 4.3215 7.1032 2.5463 -4.3215 7.1032 2.5463 4.3215 -7.1032" Properties=species:S:1:pos:R:3 pbc="T T T"
Pm 2.5463 2.4206 -2.2657
Pm 0.0000 0.0000 1.8260
Pm 0.0000 2.8569 0.0000
Pm 2.5463 2.4206 2.2657
Pm 0.0000 1.9008 4.8375
Pm 0.0000 5.7861 0.0000
Pm 0.0000 0.0000 12.3804
Pm 0.0000 1.9008 9.3689
Zn 2.5463 0.0000 4.2631
Zn 0.0000 4.3215 2.8401
Cu 2.5463 0.0000 0.0000
```

Calculated values
Density of states at the Fermi level = 13.20 states/eV/cell
Space-group type = No. 71
Spin magnetization = 0.00 μB/cell
Crystal system = orthorhombic

Top of the stability list: *w*, leading by 92 meV per atom.

*w*
Computed, not measured: crystalline Pm3Zn4Cu2 at its relaxed geometry at the PBE level of DFT.

```
9
Lattice="4.9275 -2.2645 0.0000 4.9275 2.2645 0.0000 -2.0936 0.0000 8.4500" Properties=species:S:1:pos:R:3 pbc="T T T"
Pm 0.0000 0.0000 0.0000
Pm 3.0509 0.0000 2.5655
Pm 4.7106 0.0000 5.8846
Zn 0.1135 0.0000 3.5756
Zn 0.8535 0.0000 7.8620
Zn 6.9080 0.0000 0.5881
Zn 7.6480 0.0000 4.8745
Cu 1.8286 0.0000 5.5925
Cu 5.9329 0.0000 2.8576
```

Calculated values
Density of states at the Fermi level = 6.35 states/eV/cell
Space-group type = No. 12
Spin magnetization = 0.00 μB/cell
Crystal system = monoclinic

*x*
Computed, not measured: crystalline Pm3Zn4Cu2 at its relaxed geometry at the PBE level of DFT.

```
9
Lattice="5.3106 -2.2335 0.0000 5.3106 2.2335 0.0000 -3.3283 0.0000 7.8969" Properties=species:S:1:pos:R:3 pbc="T T T"
Pm 0.0000 0.0000 0.0000
Pm 2.3179 0.0000 2.7113
Pm 4.9750 0.0000 5.1856
Zn -0.8231 0.0000 2.9504
Zn -0.1989 0.0000 7.4113
Zn 7.4918 0.0000 0.4856
Zn 8.1160 0.0000 4.9465
Cu 1.8161 0.0000 5.7731
Cu 5.4768 0.0000 2.1238
```

Calculated values
Density of states at the Fermi level = 7.91 states/eV/cell
Space-group type = No. 12
Spin magnetization = 0.00 μB/cell
Crystal system = monoclinic

Top of the stability list: *x*, leading by 17 meV per atom.

*w*
Computed, not measured: crystalline PmZn3Cu2 at its relaxed geometry at the PBE level of DFT.

```
12
Lattice="7.4931 -2.0775 0.0000 7.4931 2.0775 0.0000 -3.3733 0.0000 6.7739" Properties=species:S:1:pos:R:3 pbc="T T T"
Pm 1.9712 0.0000 0.4681
Pm 9.6418 0.0000 6.3057
Zn -0.7348 0.0000 2.4691
Zn 2.8780 0.0000 3.6729
Zn 4.9143 0.0000 2.0350
Zn 6.6987 0.0000 4.7389
Zn 8.7351 0.0000 3.1009
Zn 12.3479 0.0000 4.3048
Cu 0.5968 0.0000 4.6574
Cu 4.4055 0.0000 5.6229
Cu 7.2076 0.0000 1.1510
Cu 11.0162 0.0000 2.1165
```

Calculated values
Density of states at the Fermi level = 6.48 states/eV/cell
Space-group type = No. 12
Spin magnetization = 0.00 μB/cell
Crystal system = monoclinic

*x*
Computed, not measured: crystalline PmZn3Cu2 at its relaxed geometry at the PBE level of DFT.

```
18
Lattice="9.2940 0.0000 0.0000 -4.6470 8.0489 0.0000 0.0000 0.0000 4.0766" Properties=species:S:1:pos:R:3 pbc="T T T"
Pm 0.0000 0.0000 0.0000
Pm 0.0000 5.3659 2.0383
Pm 4.6470 2.6830 2.0383
Zn -1.3735 2.3790 2.0383
Zn -2.3235 4.0244 0.0000
Zn -3.2735 5.6699 2.0383
Zn 2.7470 0.0000 2.0383
Zn 1.3735 2.3790 2.0383
Zn 4.6470 0.0000 0.0000
Zn 2.3235 4.0244 0.0000
Zn 6.5470 0.0000 2.0383
Zn 3.2735 5.6699 2.0383
Cu 0.0000 3.0393 0.0000
Cu -2.0149 6.5292 0.0000
Cu 2.6321 1.5197 0.0000
Cu 2.0149 6.5292 0.0000
Cu 6.6619 1.5197 0.0000
Cu 4.6470 5.0096 0.0000
```

Calculated values
Density of states at the Fermi level = 9.21 states/eV/cell
Space-group type = No. 191
Spin magnetization = 0.00 μB/cell
Crystal system = hexagonal

Top of the stability list: *x*, leading by 68 meV per atom.